A relaxed structure of LiB2C2. Source: Alexandria, functional GGA-PBE.

Geometry as POSCAR:
```
LiB2C2
1.0
5.314 -0.090 0.000
-1.367 2.369 0.000
0.000 0.000 7.334
C B Li
4 4 2
direct
0.211 0.711 0.272
0.711 0.711 0.228
0.289 0.289 0.772
0.789 0.289 0.728
0.128 0.628 0.771
0.628 0.628 0.729
0.372 0.372 0.271
0.872 0.372 0.229
0.500 0.000 0.000
0.000 0.000 0.500
```

Computed properties:
* crystal system: orthorhombic
* symmetry: No. 58
* calculated volume: 9.1 Å³/atom
* uncorrected energy: -6.78 eV/atom
* mass density: 1.9 g/cm³
* energy relative to the lowest polymorph listed for this composition: 0.030 eV per atom